Computed, not measured: a relaxed structure of Cu2Ag at the PBE level of DFT.

Values from the calculation:
ΔH_f (0 K) ... 6 kJ/mol of atoms
E above lowest polymorph ... 12.3 meV per atom

Unit cell a=2.7438 b=2.7438 c=11.0162 alpha=90.00 beta=90.00 gamma=90.00
Atoms (fractional coordinates):
Ag (0.0000, 0.5000, 0.1020)
Ag (0.5000, 0.0000, 0.8980)
Cu (0.5000, 0.0000, 0.2792)
Cu (0.0000, 0.5000, 0.4260)
Cu (0.5000, 0.0000, 0.5740)
Cu (0.0000, 0.5000, 0.7208)